--- i ---
# GaC2I2, optimized geometry, DFT PBE
data_GaC2I2
_space_group_name_H-M_alt 'P 1'
_space_group_IT_number 1
_cell_length_a 4.639
_cell_length_b 4.639
_cell_length_c 6.144
_cell_angle_alpha 67.82
_cell_angle_beta 67.82
_cell_angle_gamma 90.00
loop_
_space_group_symop_operation_xyz
'x,y,z'
loop_
_atom_site_label
_atom_site_type_symbol
_atom_site_fract_x
_atom_site_fract_y
_atom_site_fract_z
C1 C 0.750 0.250 0.500
C2 C 0.250 0.750 0.500
I1 I 0.319 0.319 0.361
I2 I 0.681 0.681 0.639
Ga1 Ga 0.000 0.000 0.000
# ρ: 5163 kg/m3
# DOS(E_F): 0.6100 states/eV/atom
# Magnetization: 0.0 μB/cell
# Space-group type: No. 139


--- ii ---
# GaC2I2, optimized geometry, DFT PBE
data_GaC2I2
_space_group_name_H-M_alt 'P 1'
_space_group_IT_number 1
_cell_length_a 8.424
_cell_length_b 8.424
_cell_length_c 3.283
_cell_angle_alpha 90.00
_cell_angle_beta 90.00
_cell_angle_gamma 90.00
loop_
_space_group_symop_operation_xyz
'x,y,z'
loop_
_atom_site_label
_atom_site_type_symbol
_atom_site_fract_x
_atom_site_fract_y
_atom_site_fract_z
C1 C 0.712 0.788 0.500
C2 C 0.288 0.212 0.500
C3 C 0.788 0.288 0.500
C4 C 0.212 0.712 0.500
I1 I 0.336 0.836 0.000
I2 I 0.164 0.336 0.000
I3 I 0.664 0.164 0.000
I4 I 0.836 0.664 0.000
Ga1 Ga 0.500 0.500 0.000
Ga2 Ga 0.000 0.000 0.000
# ρ: 4953 kg/m3
# DOS(E_F): 0.4841 states/eV/atom
# Magnetization: 0.0 μB/cell
# Space-group type: No. 127


The structures above, arranged from the most stable to the least stable: ii, i.